Material: PuHg2Pb
Method: DFT, GGA-PBE
State: relaxed

Lattice parameters (Å, degrees): 3.6934 3.6934 7.9216 90.00 90.00 90.00
Closest atoms and distances in Å follow each position.
Atoms (fractional coordinates):
Pu1 0.0000 0.0000 0.0000  8 Hg 3.26
Hg1 0.5000 0.5000 0.2456  4 Pu 3.26, 4 Pb 3.30
Hg2 0.5000 0.5000 0.7544  4 Pu 3.26, 4 Pb 3.30
Pb1 0.0000 0.0000 0.5000  8 Hg 3.30, 4 Pb 3.69

Values from the calculation:
Theoretical density   13.10 g cm⁻³
Calculated formation energy   -0.093 eV/atom
Symmetry   P4/mmm, No. 123